DFT (GGA-PBE) results for TlCdBi4 after structural relaxation.

Cell: 6.634 6.634 6.634 Å, 60.00 60.00 60.00°
Atoms (fractional coordinates):
1 Bi 0.624 0.624 0.624
2 Bi 0.624 0.624 0.127
3 Bi 0.624 0.127 0.624
4 Bi 0.127 0.624 0.624
5 Cd 0.250 0.250 0.250
6 Tl 0.000 0.000 0.000

Values from the calculation:
Magnetic moment in Bohr magnetons per cell: 0.00
Calculated volume in Å³ per cell: 206.4
Energy relative to the elements in meV/atom: 153